[1]
Compound: LaPm6Ho4
Source: Alexandria
Functional: PBE
Structure: relaxed

**DFT total energy**: -4.547 eV per atom
**Energy of formation**: 15 kJ/mol of atoms

Cell: 11.1279 11.1279 3.5829 Å, 90.00 90.00 120.00°
Closest atoms and distances in Å follow each position.
Space group P-6m2 (No. 187)
One atom of each set of equivalent atoms:
La1 0.0000 0.0000 0.0000 x1  2 La 3.58, 6 Ho 3.65, 6 Pm 3.95
Pm1 0.1825 0.3651 0.5000 x3  4 Ho 3.36-3.41, 6 Pm 3.58-3.75
Pm2 0.5194 0.0387 0.0000 x3  5 Ho 3.55-3.59, 6 Pm 3.58-3.75
Ho1 0.3295 0.1648 0.5000 x3  6 Pm 3.36-3.55, 2 Ho 3.58, 2 La 3.65
Ho2 0.3333 0.6667 0.0000 x1  9 Pm 3.41-3.59, 2 Ho 3.58

[2]
Compound: ZrGa2PtCl
Source: Alexandria
Functional: PBE
Structure: relaxed

**DFT total energy**: -4.766 eV per atom
**ΔE_f (raw)**: -0.27 eV/atom

Cell: 4.7475 4.7475 5.4694 Å, 90.00 90.00 90.00°
Closest atoms and distances in Å follow each position.
Space group P4/mmm (No. 123)
One atom of each set of equivalent atoms:
Zr1 0.0000 0.0000 0.0000 x1  2 Pt 2.73
Ga1 0.0000 0.5000 0.5000 x2  2 Pt 2.37
Pt1 0.0000 0.0000 0.5000 x1  4 Ga 2.37
Cl1 0.5000 0.5000 0.0000 x1  4 Zr 3.36, 8 Ga 3.62